No. 1
{
  "formula": "CeTm4AgS8",
  "functional": "PBE",
  "state": "optimized geometry",
  "cell": [[-1.119, -7.161, -3.214], [6.199, -4.761, -1.329], [0.987, -6.588, 4.555]],
  "species": ["S", "S", "S", "Tm", "Ag", "S", "Tm", "S", "S", "Tm", "Tm", "S", "S", "Ce"],
  "frac_coords": [[0.248, 0.248, 0.731], [0.751, 0.230, 0.269], [0.241, 0.241, 0.276], [0.627, 0.627, 0.119], [0.372, 0.372, 0.883], [0.759, 0.759, 0.723], [0.005, 0.005, 0.504], [0.230, 0.751, 0.269], [0.248, 0.773, 0.731], [0.487, 0.005, 0.504], [0.005, 0.487, 0.504], [0.751, 0.751, 0.269], [0.773, 0.248, 0.731], [0.004, 0.004, 0.989]],
  "final_energy_ev_per_atom": -6.056,
  "m_tot_mub_per_atom": 0.07
}

---

No. 2
{
  "formula": "Li4Ag3Pb",
  "functional": "PBE",
  "state": "optimized geometry",
  "cell": [[-2.244, -3.878, -1.269], [2.244, 0.041, -4.094], [7.073, -1.693, 1.208]],
  "species": ["Ag", "Pb", "Li", "Li", "Li", "Li", "Ag", "Ag"],
  "frac_coords": [[0.000, 0.500, 0.000], [0.500, 0.000, 0.000], [0.370, 0.629, 0.740], [0.250, 0.250, 0.500], [0.630, 0.371, 0.260], [0.750, 0.750, 0.500], [0.858, 0.142, 0.716], [0.142, 0.858, 0.284]],
  "delta_e_f_ev_per_atom": -0.161,
  "polymorph_energy_mev_per_atom": 60,
  "m_tot_mub_per_atom": 0.00
}

---

No. 3
{
  "formula": "Tb5Tm3Sb8",
  "functional": "PBE",
  "state": "optimized geometry",
  "cell": [[-5.907, 6.241, -1.685], [-8.427, -2.123, -1.078], [-5.888, 2.216, 6.090]],
  "species": ["Tb", "Sb", "Sb", "Tm", "Tm", "Tb", "Sb", "Tb", "Sb", "Sb", "Tb", "Sb", "Tm", "Tb", "Sb", "Sb"],
  "frac_coords": [[0.500, 0.500, 0.000], [0.750, 0.247, 0.253], [0.250, 0.753, 0.747], [0.000, 0.500, 0.500], [0.500, 0.000, 0.500], [0.500, 0.000, 0.000], [0.248, 0.248, 0.255], [0.000, 0.500, 0.000], [0.247, 0.750, 0.253], [0.752, 0.752, 0.745], [0.500, 0.500, 0.500], [0.250, 0.250, 0.747], [0.000, 0.000, 0.500], [0.000, 0.000, 0.000], [0.750, 0.750, 0.253], [0.753, 0.250, 0.747]],
  "final_energy_ev_per_atom": -5.463,
  "m_tot_mub_per_atom": 0.00
}

---

No. 4
{
  "formula": "Pm5Pr3Nd",
  "functional": "PBE",
  "state": "optimized geometry",
  "cell": [[-3.038, -9.591, -2.200], [5.327, -8.364, -2.780], [2.004, -10.937, 5.775]],
  "species": ["Pr", "Nd", "Pr", "Pr", "Pm", "Pr", "Pm", "Pm", "Pr", "Pm", "Nd", "Pm", "Pm", "Pm", "Pm", "Pm", "Pm", "Pr"],
  "frac_coords": [[0.705, 0.705, 0.896], [0.110, 0.110, 0.648], [0.638, 0.638, 0.670], [0.295, 0.295, 0.104], [0.682, 0.318, 0.000], [0.000, 0.000, 0.500], [0.443, 0.443, 0.694], [0.094, 0.480, 0.653], [0.362, 0.362, 0.330], [0.480, 0.094, 0.653], [0.890, 0.890, 0.352], [0.839, 0.839, 0.969], [0.906, 0.520, 0.347], [0.161, 0.161, 0.031], [0.520, 0.906, 0.347], [0.318, 0.682, 0.000], [0.557, 0.557, 0.306], [0.000, 0.000, 0.000]],
  "delta_e_f_ev_per_atom": 0.370,
  "polymorph_energy_mev_per_atom": 245,
  "m_tot_mub_per_atom": 0.00
}

---

No. 5
{
  "formula": "LaDyCrN4",
  "functional": "PBE",
  "state": "optimized geometry",
  "cell": [[5.597, 0.000, 0.020], [0.000, 5.558, 0.000], [-2.169, 0.000, 6.571]],
  "species": ["N", "La", "N", "Cr", "N", "N", "N", "Dy", "N", "Dy", "Cr", "N", "N", "La"],
  "frac_coords": [[0.035, 0.506, 0.258], [0.279, 0.250, 0.068], [0.965, 0.494, 0.742], [0.758, 0.250, 0.687], [0.582, 0.250, 0.437], [0.418, 0.750, 0.563], [0.965, 0.006, 0.742], [0.204, 0.250, 0.538], [0.559, 0.250, 0.839], [0.796, 0.750, 0.462], [0.242, 0.750, 0.313], [0.441, 0.750, 0.161], [0.035, 0.994, 0.258], [0.721, 0.750, 0.932]],
  "final_energy_ev_per_atom": -8.639,
  "m_tot_mub_per_atom": 0.00
}

---

No. 6
{
  "formula": "LiHg2Cl",
  "functional": "PBE",
  "state": "optimized geometry",
  "cell": [[-2.561, 9.961, -5.048], [-2.413, -5.551, -9.728], [-4.597, 1.990, -6.742]],
  "species": ["Hg", "Cl", "Cl", "Li", "Hg", "Hg", "Hg", "Li"],
  "frac_coords": [[0.375, 0.485, 0.750], [0.750, 0.250, 0.500], [0.000, 0.000, 0.000], [0.500, 0.500, 0.000], [0.235, 0.625, 0.250], [0.515, 0.125, 0.250], [0.875, 0.765, 0.750], [0.250, 0.750, 0.500]],
  "polymorph_energy_mev_per_atom": 132,
  "m_tot_mub_per_atom": 0.00
}